(1)
Material: ZrSiIr3
Method: DFT, PBE
State: optimized geometry

```
data_ZrSiIr3
_chemical_formula_sum 'Zr1 Si1 Ir3'
_symmetry_space_group_name_H-M 'P m -3 m'
_symmetry_Int_Tables_number 221
_symmetry_space_group_name_Hall '-P 4 2 3'
_cell_length_a 4.8718
_cell_length_b 4.8718
_cell_length_c 4.8718
_cell_angle_alpha 90.00
_cell_angle_beta 90.00
_cell_angle_gamma 90.00
loop_
_atom_site_label
_atom_site_type_symbol
_atom_site_fract_x
_atom_site_fract_y
_atom_site_fract_z
Zr1 Zr 0.0000 0.0000 0.0000
Si1 Si 0.5000 0.5000 0.5000
Ir1 Ir 0.0000 0.0000 0.5000
```

=====

(2)
Material: ZrSiIr3
Method: DFT, PBE
State: optimized geometry

```
data_ZrSiIr3
_chemical_formula_sum 'Zr1 Si1 Ir3'
_symmetry_space_group_name_H-M 'P m -3 m'
_symmetry_Int_Tables_number 221
_symmetry_space_group_name_Hall '-P 4 2 3'
_cell_length_a 4.4448
_cell_length_b 4.4448
_cell_length_c 4.4448
_cell_angle_alpha 90.00
_cell_angle_beta 90.00
_cell_angle_gamma 90.00
loop_
_atom_site_label
_atom_site_type_symbol
_atom_site_fract_x
_atom_site_fract_y
_atom_site_fract_z
Zr1 Zr 0.0000 0.0000 0.0000
Si1 Si 0.5000 0.5000 0.5000
Ir1 Ir 0.0000 0.5000 0.5000
```

=====

The relative energies come out as (1) 167.6; (2) 0.0, with values in kJ/mol of atoms.

=====

(1)
Material: ZrSi3Ir
Method: DFT, PBE
State: optimized geometry

```
data_ZrSi3Ir
_chemical_formula_sum 'Zr1 Si3 Ir1'
_symmetry_space_group_name_H-M 'P m -3 m'
_symmetry_Int_Tables_number 221
_symmetry_space_group_name_Hall '-P 4 2 3'
_cell_length_a 4.6429
_cell_length_b 4.6429
_cell_length_c 4.6429
_cell_angle_alpha 90.00
_cell_angle_beta 90.00
_cell_angle_gamma 90.00
loop_
_atom_site_label
_atom_site_type_symbol
_atom_site_fract_x
_atom_site_fract_y
_atom_site_fract_z
Zr1 Zr 0.0000 0.0000 0.0000
Si1 Si 0.0000 0.5000 0.5000
Ir1 Ir 0.5000 0.5000 0.5000
```

=====

(2)
Material: ZrSi3Ir
Method: DFT, PBE
State: optimized geometry

```
data_ZrSi3Ir
_chemical_formula_sum 'Zr1 Si3 Ir1'
_symmetry_space_group_name_H-M 'P m -3 m'
_symmetry_Int_Tables_number 221
_symmetry_space_group_name_Hall '-P 4 2 3'
_cell_length_a 4.8892
_cell_length_b 4.8892
_cell_length_c 4.8892
_cell_angle_alpha 90.00
_cell_angle_beta 90.00
_cell_angle_gamma 90.00
loop_
_atom_site_label
_atom_site_type_symbol
_atom_site_fract_x
_atom_site_fract_y
_atom_site_fract_z
Zr1 Zr 0.0000 0.0000 0.0000
Si1 Si 0.0000 0.0000 0.5000
Ir1 Ir 0.5000 0.5000 0.5000
```

=====

The relative energies come out as (1) 0.0; (2) 102.3, with values in kJ/mol of atoms.

=====

(1)
Material: Sm2SnIr
Method: DFT, PBE
State: optimized geometry

```
data_Sm2SnIr
_chemical_formula_sum 'Sm6 Sn3 Ir3'
_symmetry_space_group_name_H-M 'R -3 m'
_symmetry_Int_Tables_number 166
_symmetry_space_group_name_Hall '-R 3 2"'
_cell_length_a 3.9896
_cell_length_b 3.9896
_cell_length_c 28.8966
_cell_angle_alpha 90.00
_cell_angle_beta 90.00
_cell_angle_gamma 120.00
loop_
_atom_site_label
_atom_site_type_symbol
_atom_site_fract_x
_atom_site_fract_y
_atom_site_fract_z
Sm1 Sm 0.0000 0.0000 0.1119
Sn1 Sn 0.0000 0.0000 0.0000
Ir1 Ir 0.0000 0.0000 0.5000
```

=====

(2)
Material: Sm2SnIr
Method: DFT, PBE
State: optimized geometry

```
data_Sm2SnIr
_chemical_formula_sum 'Sm4 Sn2 Ir2'
_symmetry_space_group_name_H-M 'P 1 21/m 1'
_symmetry_Int_Tables_number 11
_cell_length_a 6.3201
_cell_length_b 4.0397
_cell_length_c 8.7756
_cell_angle_alpha 90.00
_cell_angle_beta 109.16
_cell_angle_gamma 90.00
loop_
_symmetry_equiv_pos_as_xyz
'x,y,z'
'-x,-y,-z'
'-x,y+1/2,-z'
'x,-y+1/2,z'
loop_
_atom_site_label
_atom_site_type_symbol
_atom_site_fract_x
_atom_site_fract_y
_atom_site_fract_z
Sm1 Sm 0.1700 0.2500 0.3932
Sm2 Sm 0.2557 0.7500 0.0465
Sn1 Sn 0.3723 0.7500 0.7043
Ir1 Ir 0.1172 0.2500 0.7972
```

=====

The relative energies come out as (1) 43.6; (2) 0.0, with values in kJ/mol of atoms.

=====

(1)
Material: SrSmIr
Method: DFT, PBE
State: optimized geometry

```
data_SrSmIr
_chemical_formula_sum 'Sr2 Sm2 Ir2'
_symmetry_space_group_name_H-M 'I 4 m m'
_symmetry_Int_Tables_number 107
_symmetry_space_group_name_Hall 'I 4 -2'
_cell_length_a 3.5923
_cell_length_b 3.5923
_cell_length_c 13.8378
_cell_angle_alpha 90.00
_cell_angle_beta 90.00
_cell_angle_gamma 90.00
loop_
_atom_site_label
_atom_site_type_symbol
_atom_site_fract_x
_atom_site_fract_y
_atom_site_fract_z
Sr1 Sr 0.0000 0.0000 0.0000
Sm1 Sm 0.0000 0.0000 0.2484
Ir1 Ir 0.0000 0.0000 0.6452
```

=====

(2)
Material: SrSmIr
Method: DFT, PBE
State: optimized geometry

```
data_SrSmIr
_chemical_formula_sum 'Sr1 Sm1 Ir1'
_symmetry_space_group_name_H-M 'P 3 m 1'
_symmetry_Int_Tables_number 156
_cell_length_a 4.2032
_cell_length_b 4.2032
_cell_length_c 6.7321
_cell_angle_alpha 90.00
_cell_angle_beta 90.00
_cell_angle_gamma 120.00
loop_
_symmetry_equiv_pos_as_xyz
'x,y,z'
'-y,x-y,z'
'-x+y,-x,z'
'-y,-x,z'
'-x+y,y,z'
'x,x-y,z'
loop_
_atom_site_label
_atom_site_type_symbol
_atom_site_fract_x
_atom_site_fract_y
_atom_site_fract_z
Sr1 Sr 0.0000 0.0000 0.0000
Sm1 Sm 0.6667 0.3333 0.4664
Ir1 Ir 0.3333 0.6667 0.2668
```

=====

(3)
Material: SrSmIr
Method: DFT, PBE
State: optimized geometry

```
data_SrSmIr
_chemical_formula_sum 'Sr4 Sm4 Ir4'
_symmetry_space_group_name_H-M 'F -4 3 m'
_symmetry_Int_Tables_number 216
_symmetry_space_group_name_Hall 'F -4 2 3'
_cell_length_a 7.0639
_cell_length_b 7.0639
_cell_length_c 7.0639
_cell_angle_alpha 90.00
_cell_angle_beta 90.00
_cell_angle_gamma 90.00
loop_
_atom_site_label
_atom_site_type_symbol
_atom_site_fract_x
_atom_site_fract_y
_atom_site_fract_z
Sr1 Sr 0.0000 0.0000 0.0000
Sm1 Sm 0.0000 0.0000 0.5000
Ir1 Ir 0.2500 0.2500 0.2500
```

=====

(4)
Material: SrSmIr
Method: DFT, PBE
State: optimized geometry

```
data_SrSmIr
_chemical_formula_sum 'Sr8 Sm8 Ir8'
_symmetry_space_group_name_H-M 'C 1 2/m 1'
_symmetry_Int_Tables_number 12
_cell_length_a 22.7917
_cell_length_b 4.0402
_cell_length_c 9.3712
_cell_angle_alpha 90.00
_cell_angle_beta 100.37
_cell_angle_gamma 90.00
loop_
_symmetry_equiv_pos_as_xyz
'x,y,z'
'-x,-y,-z'
'-x,y,-z'
'x,-y,z'
'x+1/2,y+1/2,z'
'-x+1/2,-y+1/2,-z'
'-x+1/2,y+1/2,-z'
'x+1/2,-y+1/2,z'
loop_
_atom_site_label
_atom_site_type_symbol
_atom_site_fract_x
_atom_site_fract_y
_atom_site_fract_z
Sr1 Sr 0.0253 0.0000 0.2155
Sr2 Sr 0.1101 0.5000 0.6072
Sm1 Sm 0.1583 0.0000 0.9705
Sm2 Sm 0.2032 0.0000 0.3742
Ir1 Ir 0.2139 0.0000 0.6860
Ir2 Ir 0.2283 0.5000 0.8737
```

=====

The relative energies come out as (1) 0.0; (2) 1.6; (3) 0.6; (4) 13.8, with values in kJ/mol of atoms.

=====

(1)
Material: SrSm2Ir
Method: DFT, PBE
State: optimized geometry

```
data_SrSm2Ir
_chemical_formula_sum 'Sr3 Sm6 Ir3'
_symmetry_space_group_name_H-M 'R -3 m'
_symmetry_Int_Tables_number 166
_symmetry_space_group_name_Hall '-R 3 2"'
_cell_length_a 4.1325
_cell_length_b 4.1325
_cell_length_c 33.0771
_cell_angle_alpha 90.00
_cell_angle_beta 90.00
_cell_angle_gamma 120.00
loop_
_atom_site_label
_atom_site_type_symbol
_atom_site_fract_x
_atom_site_fract_y
_atom_site_fract_z
Sr1 Sr 0.0000 0.0000 0.0000
Sm1 Sm 0.0000 0.0000 0.1222
Ir1 Ir 0.0000 0.0000 0.5000
```

=====

(2)
Material: SrSm2Ir
Method: DFT, PBE
State: optimized geometry

```
data_SrSm2Ir
_chemical_formula_sum 'Sr3 Sm6 Ir3'
_symmetry_space_group_name_H-M 'R 3 m'
_symmetry_Int_Tables_number 160
_symmetry_space_group_name_Hall 'R 3 -2"'
_cell_length_a 4.2176
_cell_length_b 4.2176
_cell_length_c 28.5531
_cell_angle_alpha 90.00
_cell_angle_beta 90.00
_cell_angle_gamma 120.00
loop_
_atom_site_label
_atom_site_type_symbol
_atom_site_fract_x
_atom_site_fract_y
_atom_site_fract_z
Sr1 Sr 0.0000 0.0000 0.0000
Sm1 Sm 0.0000 0.0000 0.5480
Sm2 Sm 0.0000 0.0000 0.7818
Ir1 Ir 0.0000 0.0000 0.1649
```

=====

(3)
Material: SrSm2Ir
Method: DFT, PBE
State: optimized geometry

```
data_SrSm2Ir
_chemical_formula_sum 'Sr1 Sm2 Ir1'
_symmetry_space_group_name_H-M 'P 4/m m m'
_symmetry_Int_Tables_number 123
_symmetry_space_group_name_Hall '-P 4 2'
_cell_length_a 3.6059
_cell_length_b 3.6059
_cell_length_c 9.9888
_cell_angle_alpha 90.00
_cell_angle_beta 90.00
_cell_angle_gamma 90.00
loop_
_atom_site_label
_atom_site_type_symbol
_atom_site_fract_x
_atom_site_fract_y
_atom_site_fract_z
Sr1 Sr 0.0000 0.0000 0.0000
Sm1 Sm 0.5000 0.5000 0.3386
Ir1 Ir 0.0000 0.0000 0.5000
```

=====

The relative energies come out as (1) 11.8; (2) 0.0; (3) 8.8, with values in kJ/mol of atoms.

=====

(1)
Material: Tb2SmIr2
Method: DFT, PBE
State: optimized geometry

```
data_Tb2SmIr2
_chemical_formula_sum 'Tb8 Sm4 Ir8'
_symmetry_space_group_name_H-M 'C m c 21'
_symmetry_Int_Tables_number 36
_cell_length_a 3.9805
_cell_length_b 16.9079
_cell_length_c 7.4261
_cell_angle_alpha 90.00
_cell_angle_beta 90.00
_cell_angle_gamma 90.00
loop_
_symmetry_equiv_pos_as_xyz
'x,y,z'
'-x,-y,z+1/2'
'-x,y,z'
'x,-y,z+1/2'
'x+1/2,y+1/2,z'
'-x+1/2,-y+1/2,z+1/2'
'-x+1/2,y+1/2,z'
'x+1/2,-y+1/2,z+1/2'
loop_
_atom_site_label
_atom_site_type_symbol
_atom_site_fract_x
_atom_site_fract_y
_atom_site_fract_z
Tb1 Tb 0.0000 0.0318 0.0000
Tb2 Tb 0.0000 0.1865 0.7209
Sm1 Sm 0.0000 0.3767 0.8320
Ir1 Ir 0.0000 0.1969 0.1155
Ir2 Ir 0.0000 0.4486 0.2011
```

=====

(2)
Material: Tb2SmIr2
Method: DFT, PBE
State: optimized geometry

```
data_Tb2SmIr2
_chemical_formula_sum 'Tb2 Sm1 Ir2'
_symmetry_space_group_name_H-M 'P -3 m 1'
_symmetry_Int_Tables_number 164
_symmetry_space_group_name_Hall '-P 3 2"'
_cell_length_a 4.8257
_cell_length_b 4.8257
_cell_length_c 6.0713
_cell_angle_alpha 90.00
_cell_angle_beta 90.00
_cell_angle_gamma 120.00
loop_
_atom_site_label
_atom_site_type_symbol
_atom_site_fract_x
_atom_site_fract_y
_atom_site_fract_z
Tb1 Tb 0.3333 0.6667 0.1627
Sm1 Sm 0.0000 0.0000 0.5000
Ir1 Ir 0.3333 0.6667 0.6758
```

=====

The relative energies come out as (1) 12.4; (2) 0.0, with values in kJ/mol of atoms.